{"formula": "TaH12Cl6", "functional": "PBE", "state": "optimized geometry", "n_ef_per_ev_atom": 0.404, "magnetic_moment_mub_per_cell": 1.00, "final_energy_ev_per_atom": -3.604, "lattice": [[7.335, 1.142, 0.250], [0.277, 7.418, 0.250], [1.015, 1.142, 7.268]], "species": ["Cl", "Cl", "Cl", "Cl", "Cl", "Cl", "H", "H", "H", "H", "H", "H", "H", "H", "H", "H", "H", "H", "Ta"], "frac_coords": [[0.202, 0.861, 0.229], [0.771, 0.798, 0.139], [0.798, 0.139, 0.771], [0.139, 0.771, 0.798], [0.229, 0.202, 0.861], [0.861, 0.229, 0.202], [0.771, 0.779, 0.875], [0.221, 0.125, 0.229], [0.983, 0.459, 0.533], [0.017, 0.541, 0.467], [0.541, 0.467, 0.017], [0.229, 0.221, 0.125], [0.467, 0.017, 0.541], [0.875, 0.771, 0.779], [0.459, 0.533, 0.983], [0.779, 0.875, 0.771], [0.125, 0.229, 0.221], [0.533, 0.983, 0.459], [0.000, 0.000, 0.000]]}

---

{"formula": "TaH2Cl6", "functional": "PBE", "state": "optimized geometry", "n_ef_per_ev_atom": 0.075, "magnetic_moment_mub_per_cell": 2.02, "final_energy_ev_per_atom": -4.202, "lattice": [[5.909, -0.074, -0.405], [-0.558, 9.480, 0.563], [-0.056, 0.820, 9.478]], "species": ["Cl", "Cl", "Cl", "Cl", "Cl", "Cl", "Cl", "Cl", "Cl", "Cl", "Cl", "Cl", "H", "H", "H", "H", "Ta", "Ta"], "frac_coords": [[0.091, 0.544, 0.717], [0.383, 0.702, 0.099], [0.909, 0.456, 0.283], [0.884, 0.826, 0.974], [0.617, 0.298, 0.901], [0.409, 0.283, 0.456], [0.117, 0.901, 0.298], [0.116, 0.174, 0.026], [0.616, 0.026, 0.174], [0.384, 0.974, 0.826], [0.591, 0.717, 0.544], [0.883, 0.099, 0.702], [0.232, 0.348, 0.395], [0.732, 0.395, 0.348], [0.768, 0.652, 0.605], [0.268, 0.605, 0.652], [0.250, 0.927, 0.073], [0.750, 0.073, 0.927]]}

---

{"formula": "TaTlH2Cl8", "functional": "PBE", "state": "optimized geometry", "n_ef_per_ev_atom": 0.000, "magnetic_moment_mub_per_cell": 0.00, "final_energy_ev_per_atom": -3.999, "lattice": [[6.994, -0.256, 0.025], [-0.224, 6.771, -1.437], [0.052, -2.100, 8.372]], "species": ["Tl", "Cl", "Cl", "Cl", "Cl", "Cl", "Cl", "Cl", "Cl", "H", "H", "Ta"], "frac_coords": [[0.000, 0.000, 0.500], [0.859, 0.209, 0.880], [0.141, 0.791, 0.120], [0.105, 0.755, 0.720], [0.895, 0.245, 0.280], [0.288, 0.210, 0.043], [0.429, 0.278, 0.579], [0.712, 0.790, 0.957], [0.571, 0.722, 0.421], [0.392, 0.466, 0.697], [0.608, 0.534, 0.303], [0.000, 0.000, 0.000]]}

---

{"formula": "TaHWCl2", "functional": "PBE", "state": "optimized geometry", "n_ef_per_ev_atom": 0.892, "magnetic_moment_mub_per_cell": 0.00, "final_energy_ev_per_atom": -5.121, "lattice": [[-0.915, 4.147, 1.891], [-2.721, 1.297, -4.162], [-3.836, -1.743, 1.965]], "species": ["Cl", "Cl", "W", "H", "Ta"], "frac_coords": [[0.000, 0.000, 0.500], [0.500, 0.000, 0.000], [0.000, 0.000, 0.000], [0.500, 0.500, 0.500], [0.000, 0.500, 0.000]]}

---

{"formula": "TbHCl", "functional": "PBE", "state": "optimized geometry", "n_ef_per_ev_atom": 0.371, "magnetic_moment_mub_per_cell": 0.00, "final_energy_ev_per_atom": -4.381, "lattice": [[4.219, -0.004, 0.000], [0.007, 4.219, 0.000], [2.107, 2.102, 6.011]], "species": ["Tb", "Tb", "Cl", "Cl", "H", "H"], "frac_coords": [[0.557, 0.497, 0.804], [0.252, 0.192, 0.413], [0.404, 0.844, 0.109], [0.904, 0.344, 0.109], [0.154, 0.595, 0.608], [0.655, 0.094, 0.609]]}

---

{"formula": "TbHCl3", "functional": "PBE", "state": "optimized geometry", "n_ef_per_ev_atom": 0.000, "magnetic_moment_mub_per_cell": 0.00, "final_energy_ev_per_atom": -4.518, "lattice": [[-4.280, 0.265, 5.813], [-2.405, -6.704, -1.466], [7.636, -7.683, 5.972]], "species": ["H", "H", "H", "H", "Cl", "Cl", "Cl", "Cl", "Cl", "Cl", "Cl", "Cl", "Cl", "Cl", "Cl", "Cl", "Tb", "Tb", "Tb", "Tb"], "frac_coords": [[0.248, 0.295, 0.760], [0.248, 0.205, 0.740], [0.752, 0.705, 0.240], [0.752, 0.795, 0.260], [0.008, 0.296, 0.462], [0.750, 0.448, 0.794], [0.750, 0.052, 0.706], [0.992, 0.796, 0.962], [0.510, 0.310, 0.449], [0.250, 0.552, 0.206], [0.490, 0.690, 0.551], [0.510, 0.190, 0.051], [0.490, 0.810, 0.949], [0.250, 0.948, 0.294], [0.992, 0.704, 0.538], [0.008, 0.204, 0.038], [0.250, 0.917, 0.083], [0.250, 0.583, 0.417], [0.750, 0.083, 0.917], [0.750, 0.417, 0.583]]}

---

{"formula": "TbH2Cl4", "functional": "PBE", "state": "optimized geometry", "n_ef_per_ev_atom": 0.127, "magnetic_moment_mub_per_cell": 0.16, "final_energy_ev_per_atom": -3.747, "lattice": [[-1.363, 1.317, -3.033], [-2.533, -6.837, -1.607], [-2.006, 7.838, 6.191]], "species": ["Tb", "H", "H", "Cl", "Cl", "Cl", "Cl"], "frac_coords": [[0.000, 0.500, 0.000], [0.752, 0.786, 0.532], [0.248, 0.214, 0.468], [0.377, 0.392, 0.737], [0.623, 0.608, 0.263], [0.848, 0.916, 0.732], [0.152, 0.084, 0.268]]}

---

{"formula": "TbHCl", "functional": "PBE", "state": "optimized geometry", "n_ef_per_ev_atom": 0.317, "magnetic_moment_mub_per_cell": 0.00, "final_energy_ev_per_atom": -4.290, "lattice": [[3.302, 0.000, 0.000], [0.000, 3.302, 0.000], [-1.651, -1.651, 4.698]], "species": ["H", "Cl", "Tb"], "frac_coords": [[0.282, 0.282, 0.564], [0.010, 0.010, 0.019], [0.708, 0.708, 0.417]]}